VASP calculation (GGA-PBE) on La6Ga2IrBr3 after structural relaxation.

POSCAR file:
```
La6Ga2IrBr3
1.0
9.778 -2.152 0.000
9.778 2.152 0.000
-2.454 0.000 8.865
La Ga Ir Br
6 2 1 3
Cartesian
-0.466 0.000 1.958 La
5.326 0.000 3.758 La
4.649 0.000 8.035 La
12.453 0.000 0.830 La
11.776 0.000 5.107 La
17.568 0.000 6.907 La
2.381 0.000 2.987 Ga
14.721 0.000 5.878 Ga
9.778 0.000 0.000 Ir
1.360 0.000 7.440 Br
8.551 0.000 4.432 Br
15.742 0.000 1.425 Br
```

For the raw total energy, the calculation gives -5.149 eV per atom. The value obtained for the total moment is 0.00 μB per formula unit. The formation energy from raw total energies comes out at -1.02 eV/atom. Its density of states at the Fermi level is 9.87 states/eV/f.u.